Density functional theory data (GGA-PBE) for Ac3HoGe2N6 after structural relaxation.

CIF file:
```
data_Ac3HoGe2N6
_chemical_formula_sum 'Ac3 Ho1 Ge2 N6'
_space_group_name_H-M_alt 'P -3 m 1'
_space_group_IT_number 164
_space_group_name_Hall '-P 3 2"'
_cell_length_a 6.0840
_cell_length_b 6.0840
_cell_length_c 6.7114
_cell_angle_alpha 90.00
_cell_angle_beta 90.00
_cell_angle_gamma 120.00
loop_
_atom_site_label
_atom_site_fract_x
_atom_site_fract_y
_atom_site_fract_z
Ac1 0.0000 0.0000 0.0000
Ac2 0.3333 0.6667 0.6356
Ho1 0.0000 0.0000 0.5000
Ge1 0.3333 0.6667 0.1760
N1 0.1736 0.3471 0.2954
```

* DFT total energy: -7.16 eV per atom
* crystal system: trigonal
* formation energy without anion corrections: -9.79 eV/f.u.